Here is an optimized crystal structure of InTeO3F from Alexandria via LeMat-Bulk. Energies are from PBE.

Summary:
* theoretical density: 5553 kg/m³
* density of states at the Fermi level: 0.00 states/eV/atom
* ΔE_f (raw): -1565 meV/atom
* E_tot: -5.3357 eV per atom

a b c (Å): 8.3314 5.5288 8.0463
angles (deg): 90.00 93.13 90.00
Closest atoms and distances in Å follow each position.
Space group P2_1/c (No. 14)
Inequivalent atoms, fractional coordinates:
In1 0.1437 0.2178 0.3241 (multiplicity 4)  5 O 2.15-2.28, 1 F 2.23
Te1 0.2914 0.6950 0.1572 (multiplicity 4)  3 O 1.91-1.98
O1 0.0942 0.6159 0.6805 (multiplicity 4)  1 Te 1.97, 1 In 2.18
O2 0.1634 0.0876 0.5760 (multiplicity 4)  1 Te 1.98, 1 In 2.15
O3 0.2786 0.5466 0.3708 (multiplicity 4)  1 Te 1.91
F1 0.3794 0.0305 0.3040 (multiplicity 4)  1 In 2.23, 1 Te 2.30

***

Here is an optimized crystal structure of Be2AgBr from Alexandria via LeMat-Bulk. Energies are from PBE.

Summary:
* theoretical density: 4751 kg/m³
* energy above the most stable polymorph in this dataset: 339.1 meV per atom
* density of states at the Fermi level: 0.00 states/eV/atom
* ΔE_f (raw): 517 meV/atom
* E_tot: -2.4768 eV per atom

a b c (Å): 5.9036 5.9036 8.2560
angles (deg): 90.00 90.00 90.00
Closest atoms and distances in Å follow each position.
Space group I-42d (No. 122)
Inequivalent atoms, fractional coordinates:
Be1 0.2487 0.2500 0.1250 (multiplicity 8)  2 Ag 2.32, 2 Br 2.33
Ag1 0.0000 0.0000 0.0000 (multiplicity 4)  4 Be 2.32
Br1 0.0000 0.0000 0.5000 (multiplicity 4)  4 Be 2.33